Material: BaZr3Cu
Method: DFT, GGA-PBE
State: relaxed

Cell: 5.144 5.144 5.144 Å, 90.00 90.00 90.00°
Sites, in units of the cell vectors:
Cu: 0.000 0.000 0.000
Ba: 0.500 0.500 0.500
Zr: 0.000 0.500 0.000
Zr: 0.000 0.000 0.500
Zr: 0.500 0.000 0.000

**Symmetry**: Pm-3m
**Volume**: 27.22 Å³/atom
**Formation enthalpy at 0 K**: 0.57 eV/atom
**Energy relative to the lowest polymorph listed for this composition**: 0 meV per atom
**Energy**: -28.82 eV for the cell shown

Material: BaZrCu2
Method: DFT, GGA-PBE
State: relaxed

Cell: 7.696 7.696 6.545 Å, 53.99 53.99 90.00°
Sites, in units of the cell vectors:
Cu: 0.567 0.125 0.250
Cu: 0.183 0.625 0.250
Cu: 0.375 0.433 0.750
Cu: 0.875 0.817 0.750
Ba: 0.000 0.000 0.000
Ba: 0.750 0.250 0.500
Zr: 0.500 0.500 0.000
Zr: 0.250 0.750 0.500

**Symmetry**: I-42d
**Volume**: 26.92 Å³/atom
**Formation enthalpy at 0 K**: 0.52 eV/atom
**Energy relative to the lowest polymorph listed for this composition**: 466 meV per atom
**Energy**: -33.15 eV for the cell shown

Material: BaZrCu2
Method: DFT, GGA-PBE
State: relaxed

Cell: 5.951 5.951 5.951 Å, 138.98 138.98 59.41°
Sites, in units of the cell vectors:
Ba: 0.750 0.250 0.500
Cu: 0.000 0.000 0.000
Cu: 0.250 0.750 0.500
Zr: 0.500 0.500 0.000

**Symmetry**: I-4m2
**Volume**: 22.48 Å³/atom
**Formation enthalpy at 0 K**: 0.55 eV/atom
**Energy relative to the lowest polymorph listed for this composition**: 496 meV per atom
**Energy**: -16.46 eV for the cell shown

Material: BaZrCu4
Method: DFT, GGA-PBE
State: relaxed

Cell: 5.355 5.355 5.355 Å, 60.00 60.00 60.00°
Sites, in units of the cell vectors:
Ba: 0.000 0.000 0.000
Zr: 0.750 0.750 0.750
Cu: 0.865 0.378 0.378
Cu: 0.378 0.378 0.865
Cu: 0.378 0.865 0.378
Cu: 0.378 0.378 0.378

**Symmetry**: F-43m
**Volume**: 18.10 Å³/atom
**Formation enthalpy at 0 K**: 0.29 eV/atom
**Energy**: -25.11 eV for the cell shown

Material: BaZrCu2
Method: DFT, GGA-PBE
State: relaxed

Cell: 4.894 4.894 4.894 Å, 60.00 60.00 60.00°
Sites, in units of the cell vectors:
Ba: 0.500 0.500 0.500
Cu: 0.000 0.000 0.000
Cu: 0.250 0.250 0.250
Zr: 0.750 0.750 0.750

**Symmetry**: F-43m
**Volume**: 20.72 Å³/atom
**Formation enthalpy at 0 K**: 0.60 eV/atom
**Energy relative to the lowest polymorph listed for this composition**: 549 meV per atom
**Energy**: -16.24 eV for the cell shown

Material: Ba3Dy
Method: DFT, GGA-PBE
State: relaxed

Cell: 8.373 8.373 6.742 Å, 90.00 90.00 120.00°
Sites, in units of the cell vectors:
Ba: 0.172 0.344 0.250
Ba: 0.656 0.828 0.250
Ba: 0.172 0.828 0.250
Ba: 0.828 0.656 0.750
Ba: 0.344 0.172 0.750
Ba: 0.828 0.172 0.750
Dy: 0.333 0.667 0.750
Dy: 0.667 0.333 0.250

**Symmetry**: P6_3/mmc
**Volume**: 51.17 Å³/atom
**Formation enthalpy at 0 K**: 0.22 eV/atom
**Energy relative to the lowest polymorph listed for this composition**: 0 meV per atom
**Energy**: -18.94 eV for the cell shown

Material: Ba3Dy
Method: DFT, GGA-PBE
State: relaxed

Cell: 4.098 3.869 13.154 Å, 90.00 90.00 90.00°
Sites, in units of the cell vectors:
Ba: 0.000 0.500 0.460
Ba: 0.500 0.500 0.176
Ba: 0.500 0.000 0.729
Dy: 0.000 0.000 0.969

**Symmetry**: Pmm2
**Volume**: 52.14 Å³/atom
**Formation enthalpy at 0 K**: 0.30 eV/atom
**Energy relative to the lowest polymorph listed for this composition**: 80 meV per atom
**Energy**: -9.15 eV for the cell shown

Material: BaDy5
Method: DFT, GGA-PBE
State: relaxed

Cell: 3.755 5.993 9.795 Å, 107.82 90.00 90.00°
Sites, in units of the cell vectors:
Ba: 0.000 0.000 0.000
Dy: 0.000 0.653 0.307
Dy: 0.000 0.347 0.693
Dy: 0.500 0.500 0.000
Dy: 0.500 0.190 0.380
Dy: 0.500 0.810 0.620

**Symmetry**: Cmmm
**Volume**: 34.98 Å³/atom
**Formation enthalpy at 0 K**: 0.21 eV/atom
**Energy**: -23.66 eV for the cell shown

Material: Ba5Dy
Method: DFT, GGA-PBE
State: relaxed

Cell: 4.672 6.856 10.852 Å, 108.41 90.00 90.00°
Sites, in units of the cell vectors:
Ba: 0.000 0.672 0.344
Ba: 0.000 0.328 0.656
Ba: 0.500 0.500 0.000
Ba: 0.500 0.150 0.299
Ba: 0.500 0.850 0.701
Dy: 0.000 0.000 0.000

**Symmetry**: Cmmm
**Volume**: 54.97 Å³/atom
**Formation enthalpy at 0 K**: 0.15 eV/atom
**Energy**: -13.33 eV for the cell shown

Material: BaDyEr2
Method: DFT, GGA-PBE
State: relaxed

Cell: 3.578 3.578 12.937 Å, 82.05 82.05 60.00°
Sites, in units of the cell vectors:
Dy: 0.500 0.500 0.500
Ba: 0.000 0.000 0.000
Er: 0.094 0.094 0.719
Er: 0.906 0.906 0.281

**Symmetry**: R-3m
**Volume**: 35.40 Å³/atom
**Formation enthalpy at 0 K**: 0.24 eV/atom
**Energy**: -14.70 eV for the cell shown

Material: Ba2DyErO5
Method: DFT, GGA-PBE
State: relaxed

Cell: 3.684 7.413 12.359 Å, 90.00 90.00 104.39°
Sites, in units of the cell vectors:
Ba: 0.849 0.697 0.795
Ba: 0.090 0.179 0.673
Ba: 0.151 0.303 0.295
Ba: 0.910 0.821 0.173
Dy: 0.776 0.553 0.523
Dy: 0.224 0.447 0.023
Er: 0.532 0.063 0.952
Er: 0.468 0.937 0.452
O: 0.379 0.758 0.000
O: 0.691 0.382 0.914
O: 0.492 0.983 0.785
O: 0.270 0.541 0.648
O: 0.939 0.878 0.535
O: 0.621 0.242 0.500
O: 0.309 0.618 0.414
O: 0.508 0.017 0.285
O: 0.730 0.459 0.148
O: 0.061 0.122 0.035

**Symmetry**: Cmc2_1
**Volume**: 18.16 Å³/atom
**Uncorrected formation energy**: -2662 kJ/mol of formula units
**Energy**: -130.78 eV for the cell shown

Material: BaDy4ErS8
Method: DFT, GGA-PBE
State: relaxed

Cell: 8.235 8.235 8.215 Å, 59.92 59.92 60.00°
Sites, in units of the cell vectors:
Ba: 0.375 0.375 0.874
Dy: 0.625 0.625 0.125
Dy: 0.002 0.495 0.502
Dy: 0.495 0.002 0.502
Dy: 0.002 0.002 0.502
Er: 0.002 0.002 0.995
S: 0.230 0.805 0.734
S: 0.805 0.230 0.734
S: 0.230 0.230 0.734
S: 0.232 0.232 0.304
S: 0.759 0.228 0.255
S: 0.228 0.759 0.255
S: 0.759 0.759 0.255
S: 0.757 0.757 0.729

**Symmetry**: R3m
**Volume**: 28.11 Å³/atom
**Uncorrected formation energy**: -2656 kJ/mol of formula units
**Energy**: -85.44 eV for the cell shown